# 1
YGa5: optimized geometry, PBE.

Results
Energy above the lowest structure with this stoichiometry: 0.618 eV/f.u.
N(E_F): 3.310 states/eV per cell
Density: 6.06 Mg/m³
Formation energy from the elements: -0.19 eV per atom

```
YGa5
1.0
-3.768 1.123 1.748
-2.463 -0.324 -5.100
0.193 -4.572 3.352
Ga Y
5 1
direct
0.000 0.396 0.000 Ga
0.500 0.333 0.667 Ga
0.500 0.667 0.333 Ga
0.000 0.000 0.396 Ga
0.000 0.604 0.604 Ga
0.500 0.000 0.000 Y
```

# 2
YGa: optimized geometry, PBE.

Results
N(E_F): 21.982 states/eV per cell
Density: 3.28 Mg/m³
Formation energy from the elements: 0.32 eV per atom

```
YGa
1.0
8.628 0.000 0.000
0.000 8.628 0.000
0.000 0.000 8.628
Y Ga
8 8
direct
0.703 0.703 0.297 Y
0.797 0.203 0.203 Y
0.203 0.797 0.203 Y
0.297 0.703 0.703 Y
0.797 0.797 0.797 Y
0.203 0.203 0.797 Y
0.297 0.297 0.297 Y
0.703 0.297 0.703 Y
0.110 0.890 0.890 Ga
0.890 0.890 0.110 Ga
0.390 0.390 0.610 Ga
0.610 0.390 0.390 Ga
0.390 0.610 0.390 Ga
0.890 0.110 0.890 Ga
0.610 0.610 0.610 Ga
0.110 0.110 0.110 Ga
```

# 3
YGa: optimized geometry, PBE.

Results
N(E_F): 12.303 states/eV per cell
Density: 5.03 Mg/m³
Formation energy from the elements: -0.30 eV per atom

```
YGa
1.0
-0.567 -5.758 1.342
3.362 0.796 4.832
-4.864 1.221 3.183
Ga Y
4 4
direct
0.500 0.000 0.500 Ga
0.500 0.500 0.000 Ga
0.000 0.500 0.500 Ga
0.000 0.000 0.000 Ga
0.000 0.000 0.500 Y
0.500 0.500 0.500 Y
0.500 0.000 0.000 Y
0.000 0.500 0.000 Y
```

# 4
YGa: optimized geometry, PBE.

Results
N(E_F): 16.279 states/eV per cell
Density: 5.55 Mg/m³
Formation energy from the elements: -0.22 eV per atom

```
YGa
1.0
-3.922 9.457 -0.026
-9.005 -3.743 -3.120
-1.023 -0.415 3.450
Ga Y
8 8
direct
0.150 0.500 0.000 Ga
0.500 0.150 0.000 Ga
0.000 0.350 0.500 Ga
0.500 0.850 0.000 Ga
0.850 0.500 0.000 Ga
0.650 0.000 0.500 Ga
0.000 0.650 0.500 Ga
0.350 0.000 0.500 Ga
0.842 0.158 0.000 Y
0.842 0.842 0.000 Y
0.158 0.842 0.000 Y
0.658 0.342 0.500 Y
0.342 0.658 0.500 Y
0.342 0.342 0.500 Y
0.658 0.658 0.500 Y
0.158 0.158 0.000 Y
```

# 5
Y4Ga3: optimized geometry, PBE.

Results
N(E_F): 13.385 states/eV per cell
Density: 5.50 Mg/m³
Formation energy from the elements: -0.50 eV per atom

```
Y4Ga3
1.0
6.415 0.000 0.000
-2.138 7.835 0.000
-2.138 -3.918 6.786
Y Ga
8 6
direct
0.500 0.000 0.000 Y
0.770 0.147 0.690 Y
0.377 0.457 0.147 Y
0.000 0.000 0.000 Y
0.080 0.310 0.457 Y
0.230 0.853 0.310 Y
0.623 0.543 0.853 Y
0.920 0.690 0.543 Y
0.516 0.268 0.394 Ga
0.248 0.125 0.732 Ga
0.877 0.394 0.125 Ga
0.123 0.606 0.875 Ga
0.484 0.732 0.606 Ga
0.752 0.875 0.268 Ga
```

# 6
YGa5: optimized geometry, PBE.

Results
Energy above the lowest structure with this stoichiometry: 0.000 eV/f.u.
N(E_F): 1.832 states/eV per cell
Density: 6.27 Mg/m³
Formation energy from the elements: -0.30 eV per atom

```
YGa5
1.0
-3.777 -1.928 -1.250
1.136 -3.558 2.053
-3.310 3.844 4.071
Ga Y
5 1
direct
0.000 0.680 0.359 Ga
0.500 0.173 0.347 Ga
0.000 0.320 0.641 Ga
0.500 0.500 0.000 Ga
0.500 0.827 0.653 Ga
0.000 0.000 0.000 Y
```

# 7
YGa: optimized geometry, PBE.

Results
N(E_F): 8.039 states/eV per cell
Density: 3.99 Mg/m³
Formation energy from the elements: 0.13 eV per atom

```
YGa
1.0
-5.000 0.684 0.744
1.716 -4.416 -1.890
0.518 -2.126 5.436
Y Ga
2 2
direct
0.333 0.667 0.750 Y
0.667 0.333 0.250 Y
0.333 0.667 0.250 Ga
0.667 0.333 0.750 Ga
```

# 8
YGa: optimized geometry, PBE.

Results
N(E_F): 12.219 states/eV per cell
Density: 5.28 Mg/m³
Formation energy from the elements: -0.35 eV per atom

```
YGa
1.0
-0.293 -6.686 5.825
6.716 5.793 0.230
-2.273 2.525 2.784
Y Ga
6 6
direct
0.823 0.647 0.250 Y
0.823 0.177 0.250 Y
0.647 0.823 0.750 Y
0.177 0.823 0.750 Y
0.353 0.177 0.250 Y
0.177 0.353 0.750 Y
0.561 0.439 0.750 Ga
0.439 0.561 0.250 Ga
0.121 0.561 0.250 Ga
0.561 0.121 0.750 Ga
0.439 0.879 0.250 Ga
0.879 0.439 0.750 Ga
```

# 9
Y3Ga2: optimized geometry, PBE.

Results
N(E_F): 22.068 states/eV per cell
Density: 5.31 Mg/m³
Formation energy from the elements: -0.58 eV per atom

```
Y3Ga2
1.0
-11.044 -0.343 1.282
2.434 -4.158 10.025
4.432 9.887 -2.517
Ga Y
16 24
direct
0.977 0.121 0.500 Ga
0.023 0.879 0.500 Ga
0.382 0.118 0.500 Ga
0.500 0.500 0.000 Ga
0.477 0.977 0.855 Ga
0.379 0.523 0.500 Ga
0.621 0.477 0.500 Ga
0.750 0.750 0.000 Ga
0.250 0.250 0.000 Ga
0.618 0.882 0.500 Ga
0.121 0.621 0.145 Ga
0.000 0.000 0.000 Ga
0.118 0.618 0.736 Ga
0.523 0.023 0.145 Ga
0.882 0.382 0.264 Ga
0.879 0.379 0.855 Ga
0.568 0.433 0.730 Y
0.432 0.567 0.270 Y
0.796 0.067 0.135 Y
0.296 0.161 0.730 Y
0.704 0.839 0.270 Y
0.161 0.432 0.865 Y
0.646 0.146 0.500 Y
0.068 0.339 0.135 Y
0.669 0.169 0.839 Y
0.339 0.204 0.270 Y
0.354 0.854 0.500 Y
0.839 0.568 0.135 Y
0.146 0.646 0.500 Y
0.331 0.831 0.161 Y
0.932 0.661 0.865 Y
0.169 0.331 0.500 Y
0.661 0.796 0.730 Y
0.854 0.354 0.500 Y
0.567 0.296 0.135 Y
0.831 0.669 0.500 Y
0.433 0.704 0.865 Y
0.204 0.933 0.865 Y
0.067 0.932 0.270 Y
0.933 0.068 0.730 Y
```

# 10
YGa: optimized geometry, PBE.

Results
N(E_F): 11.168 states/eV per cell
Density: 4.79 Mg/m³
Formation energy from the elements: -0.38 eV per atom

```
YGa
1.0
-5.912 5.086 -6.810
5.157 -4.448 -7.798
-2.677 -3.108 0.003
Y Ga
8 8
direct
0.500 0.793 0.000 Y
0.793 0.500 0.000 Y
0.707 0.000 0.500 Y
0.500 0.207 0.000 Y
0.000 0.707 0.500 Y
0.207 0.500 0.000 Y
0.293 0.000 0.500 Y
0.000 0.293 0.500 Y
0.197 0.803 0.000 Ga
0.197 0.197 0.000 Ga
0.803 0.197 0.000 Ga
0.803 0.803 0.000 Ga
0.303 0.303 0.500 Ga
0.697 0.303 0.500 Ga
0.697 0.697 0.500 Ga
0.303 0.697 0.500 Ga
```

# 11
YGa: optimized geometry, PBE.

Results
N(E_F): 3.979 states/eV per cell
Density: 5.46 Mg/m³
Formation energy from the elements: -0.67 eV per atom

```
YGa
1.0
-1.794 2.695 4.909
-2.569 -2.451 -4.687
-0.102 -3.556 1.915
Ga Y
2 2
direct
0.423 0.577 0.250 Ga
0.577 0.423 0.750 Ga
0.861 0.139 0.750 Y
0.139 0.861 0.250 Y
```

# 12
YGa: optimized geometry, PBE.

Results
N(E_F): 16.942 states/eV per cell
Density: 3.71 Mg/m³
Formation energy from the elements: 0.49 eV per atom

```
YGa
1.0
-4.215 2.947 -4.094
-4.889 -3.698 2.372
-1.240 4.566 4.563
Ga Y
4 4
direct
0.750 0.750 0.250 Ga
0.250 0.750 0.750 Ga
0.250 0.250 0.250 Ga
0.750 0.250 0.750 Ga
0.000 0.000 0.000 Y
0.500 0.000 0.500 Y
0.000 0.500 0.500 Y
0.500 0.500 0.000 Y
```